<one>
FeAgPd2 | GGA-PBE | relaxed Values from VASP.

```
&SYSTEM
  ibrav = 0, nat = 4, ntyp = 3
/
ATOMIC_SPECIES
Ag 107.87 Ag.upf
Pd 106.42 Pd.upf
Fe 55.84 Fe.upf
CELL_PARAMETERS angstrom
2.814 0.000 0.000
1.407 2.437 0.000
1.407 0.812 8.944
ATOMIC_POSITIONS angstrom
Ag 2.814 1.624 4.474
Pd 1.407 0.812 2.059
Pd 1.407 0.812 6.883
Fe 4.220 2.437 8.943
```

Magnetization   3.70 μB per formula unit
Crystal system   trigonal


<two>
FeAgPd2 | GGA-PBE | relaxed Values from VASP.

```
&SYSTEM
  ibrav = 0, nat = 4, ntyp = 3
/
ATOMIC_SPECIES
Fe 55.84 Fe.upf
Pd 106.42 Pd.upf
Ag 107.87 Ag.upf
CELL_PARAMETERS angstrom
2.850 0.000 0.000
0.000 2.850 0.000
0.000 0.000 7.533
ATOMIC_POSITIONS angstrom
Fe 1.425 1.425 0.000
Pd 0.000 0.000 5.841
Pd 0.000 0.000 1.692
Ag 1.425 1.425 3.766
```

Magnetization   3.63 μB per formula unit
Crystal system   tetragonal


<three>
FeAgPd2 | GGA-PBE | relaxed Values from VASP.

```
&SYSTEM
  ibrav = 0, nat = 4, ntyp = 3
/
ATOMIC_SPECIES
Fe 55.84 Fe.upf
Pd 106.42 Pd.upf
Ag 107.87 Ag.upf
CELL_PARAMETERS angstrom
-0.420 -2.279 -2.846
3.276 -2.123 1.217
-2.402 -2.401 2.277
ATOMIC_POSITIONS angstrom
Fe 0.227 -3.401 0.324
Pd 1.638 -1.061 0.608
Pd -1.201 -1.201 1.139
Ag -0.210 -1.139 -1.423
```

Magnetization   3.85 μB per formula unit
Crystal system   tetragonal


Stability, highest: <two>